(1)
Below is a relaxed structure of InTc2SbI, with properties calculated at the PBEsol level.

Cell: 5.0793 5.0793 5.4442 Å, 90.00 90.00 90.00°
Space group P4/mmm (No. 123)
Symmetry-distinct sites (fractional):
In (0.0000, 0.0000, 0.0000) x1
Tc (0.0000, 0.5000, 0.0000) x2
Sb (0.5000, 0.5000, 0.5000) x1
I (0.0000, 0.0000, 0.5000) x1

Output
DFT total energy, eV/atom: -4.33
D(E_F), states/eV/cell: 4.82
Volume, Å³ per cell: 140.5
Raw formation energy, meV per atom: 2040.4


(2)
Below is a relaxed structure of Mg3BO3F3, with properties calculated at the PBEsol level.

Cell: 8.8298 8.8298 3.1008 Å, 90.00 90.00 120.00°
Space group P6_3/m (No. 176)
Symmetry-distinct sites (fractional):
Mg (0.0302, 0.3673, 0.2500) x6
B (0.3333, 0.6667, 0.7500) x2
O (0.1542, 0.5501, 0.7500) x6
F (0.0895, 0.7896, 0.2500) x6

Output
DFT total energy, eV/atom: -6.47
D(E_F), states/eV/cell: 0.00
Volume, Å³ per cell: 209.4
Raw formation energy, meV per atom: -3103.3


(3)
Below is a relaxed structure of ScCoRe2, with properties calculated at the PBEsol level.

Cell: 3.0788 3.0788 6.2697 Å, 90.00 90.00 90.00°
Space group P4/mmm (No. 123)
Symmetry-distinct sites (fractional):
Sc (0.0000, 0.0000, 0.0000) x1
Co (0.0000, 0.0000, 0.5000) x1
Re (0.5000, 0.5000, 0.3006) x2

Output
DFT total energy, eV/atom: -10.06
D(E_F), states/eV/cell: 4.28
Volume, Å³ per cell: 59.4
Energy above the lowest structure with this stoichiometry, meV per atom: 227.2
ΔE_f, eV per atom: 0.192


(4)
Below is a relaxed structure of Co2AgPb, with properties calculated at the PBEsol level.

Cell: 4.0318 3.1298 9.9973 Å, 90.00 90.00 90.00°
Space group Amm2 (No. 38)
Symmetry-distinct sites (fractional):
Co (0.0000, 0.0000, 0.0000) x2
Co (0.5000, 0.0000, 0.1131) x2
Ag (0.5000, 0.0000, 0.4011) x2
Pb (0.0000, 0.0000, 0.7289) x2

Output
DFT total energy, eV/atom: -5.22
D(E_F), states/eV/cell: 6.65
Volume, Å³ per cell: 126.2
ΔE_f, eV per atom: 0.478